NdZnB5O10 after structural relaxation, computed with PBE.

Results
Total energy, eV for the cell shown: -526.18

Unit cell a=8.6436 b=7.6008 c=12.4445 alpha=90.00 beta=130.70 gamma=90.00
Last column: nearest neighbours and their distance in Å.
Space group P2_1/c (No. 14)
One atom of each set of equivalent atoms:
Nd 0.0547 0.1838 0.2351  7 O 2.33-2.60
Zn 0.4830 0.5880 0.8753  5 O 2.04-2.24
B 0.0904 0.6738 0.6088  4 O 1.46-1.49
B 0.1531 0.5964 0.0010  3 O 1.34-1.39
B 0.2722 0.0330 0.0526  4 O 1.46-1.50
B 0.3480 0.5797 0.2635  4 O 1.46-1.49
B 0.4841 0.1870 0.9147  3 O 1.36-1.38
O 0.0245 0.7232 0.9865  2 B 1.39-1.46
O 0.0898 0.1069 0.9147  2 B 1.48-1.49
O 0.1169 0.5444 0.8834  1 B 1.34
O 0.2046 0.7147 0.2371  2 B 1.47-1.48
O 0.2290 0.5236 0.6458  2 B 1.49
O 0.3156 0.5354 0.1334  2 B 1.37-1.49
O 0.3201 0.0855 0.8099  2 B 1.38-1.47
O 0.3211 0.6274 0.5090  2 B 1.36-1.50
O 0.4305 0.1508 0.4306  1 B 1.38
O 0.4463 0.1520 0.1305  2 B 1.46

NdB4Os after structural relaxation, computed with PBE.

Results
Energy relative to the lowest polymorph listed for this composition, kJ/mol of atoms: 12.1
Total energy, eV for the cell shown: -83.96

Unit cell a=3.1779 b=5.4178 c=7.5318 alpha=90.00 beta=90.00 gamma=90.00
Last column: nearest neighbours and their distance in Å.
Space group Immm (No. 71)
One atom of each set of equivalent atoms:
Nd 0.0000 0.0000 0.0000  12 B 2.60-2.63
B 0.0000 0.3358 0.2473  3 B 1.78-1.84
Os 0.0000 0.0000 0.5000  12 B 2.61-2.63

NdB4Os after structural relaxation, computed with PBE.

Results
Energy relative to the lowest polymorph listed for this composition, kJ/mol of atoms: 0.0
Total energy, eV for the cell shown: -42.73

Unit cell a=3.2582 b=3.2582 c=6.9894 alpha=90.00 beta=90.00 gamma=120.00
Last column: nearest neighbours and their distance in Å.
Space group P6/mmm (No. 191)
One atom of each set of equivalent atoms:
Nd 0.0000 0.0000 0.0000  12 B 2.79
B 0.3333 0.6667 0.2947  3 B 1.88
Os 0.0000 0.0000 0.5000  12 B 2.37

Nd2Re2B5Os after structural relaxation, computed with PBE.

Results
Total energy, eV for the cell shown: -166.54

Unit cell a=10.7387 b=4.0588 c=8.3005 alpha=90.00 beta=126.40 gamma=90.00
Last column: nearest neighbours and their distance in Å.
Space group C2 (No. 5)
One atom of each set of equivalent atoms:
Nd 0.1647 0.0000 0.2634  5 B 2.73-3.04
Re 0.1327 0.4796 0.9012  5 B 2.02-2.24
B 0.0000 0.5002 0.0000  2 Re 2.02
B 0.0189 0.7158 0.6158  2 B 1.71-1.74
B 0.1442 0.9882 0.8067  1 B 1.74
Os 0.0000 0.2089 0.5000  6 B 2.18-2.24

NdB4Pb after structural relaxation, computed with PBE.

Results
Energy relative to the lowest polymorph listed for this composition, kJ/mol of atoms: 8.3
Total energy, eV for the cell shown: -34.00

Unit cell a=3.2731 b=3.2731 c=8.7442 alpha=90.00 beta=90.00 gamma=120.00
Last column: nearest neighbours and their distance in Å.
Space group P6/mmm (No. 191)
One atom of each set of equivalent atoms:
Nd 0.0000 0.0000 0.0000  12 B 2.78
B 0.3333 0.6667 0.2331  3 B 1.89
Pb 0.0000 0.0000 0.5000  12 B 3.00, 6 Pb 3.27

NdB4Pb after structural relaxation, computed with PBE.

Results
Energy relative to the lowest polymorph listed for this composition, kJ/mol of atoms: 0.0
Total energy, eV for the cell shown: -69.02

Unit cell a=3.2623 b=5.4459 c=8.8832 alpha=90.00 beta=90.00 gamma=90.00
Last column: nearest neighbours and their distance in Å.
Space group Immm (No. 71)
One atom of each set of equivalent atoms:
Nd 0.0000 0.0000 0.0000  12 B 2.86-2.90, 4 Pb 3.17
B 0.0000 0.3272 0.2571  3 B 1.84-1.88
Pb 0.0000 0.0000 0.5000  12 B 2.80-2.96

NdBPd after structural relaxation, computed with PBE.

Results
Energy relative to the lowest polymorph listed for this composition, kJ/mol of atoms: 33.2
Total energy, eV for the cell shown: -62.21

Unit cell a=6.2837 b=6.2837 c=6.2837 alpha=90.00 beta=90.00 gamma=90.00
Last column: nearest neighbours and their distance in Å.
Space group F-43m (No. 216)
One atom of each set of equivalent atoms:
Nd 0.0000 0.0000 0.0000  4 Pd 2.72
B 0.0000 0.0000 0.5000  4 Pd 2.72
Pd 0.2500 0.2500 0.7500  4 Nd 2.72, 4 B 2.72

NdB4Pd after structural relaxation, computed with PBE.

Results
Total energy, eV for the cell shown: -74.14

Unit cell a=3.1597 b=5.3628 c=8.1710 alpha=90.00 beta=90.00 gamma=90.00
Last column: nearest neighbours and their distance in Å.
Space group Immm (No. 71)
One atom of each set of equivalent atoms:
Nd 0.0000 0.0000 0.0000  12 B 2.72
B 0.0000 0.3259 0.2546  3 B 1.78-1.87
Pd 0.0000 0.0000 0.5000  12 B 2.66-2.77

NdBPd after structural relaxation, computed with PBE.

Results
Energy relative to the lowest polymorph listed for this composition, kJ/mol of atoms: 0.0
Total energy, eV for the cell shown: -66.34

Unit cell a=6.0971 b=6.0971 c=6.0971 alpha=90.00 beta=90.00 gamma=90.00
Last column: nearest neighbours and their distance in Å.
Space group F-43m (No. 216)
One atom of each set of equivalent atoms:
Nd 0.0000 0.0000 0.0000  4 B 2.64
B 0.2500 0.2500 0.2500  4 Nd 2.64, 4 Pd 2.64
Pd 0.0000 0.0000 0.5000  4 B 2.64

NdB4Pd after structural relaxation, computed with PBE.

Results
Total energy, eV for the cell shown: -37.08

Unit cell a=3.2393 b=3.2393 c=7.2278 alpha=90.00 beta=90.00 gamma=120.00
Last column: nearest neighbours and their distance in Å.
Space group P6/mmm (No. 191)
One atom of each set of equivalent atoms:
Nd 0.0000 0.0000 0.0000  12 B 2.76
B 0.3333 0.6667 0.2806  3 B 1.87
Pd 0.0000 0.0000 0.5000  12 B 2.45

PrNdB2Pd6Pt2 after structural relaxation, computed with PBE.

Results
Energy relative to the lowest polymorph listed for this composition, kJ/mol of atoms: 0.6
Total energy, eV for the cell shown: -73.78

Unit cell a=5.4895 b=5.4895 c=7.6729 alpha=90.00 beta=90.00 gamma=120.00
Last column: nearest neighbours and their distance in Å.
Space group P6/mmm (No. 191)
One atom of each set of equivalent atoms:
Pr 0.0000 0.0000 0.0000  12 Pd 3.13, 6 B 3.17
Nd 0.0000 0.0000 0.5000  6 Pt 3.17
B 0.3333 0.6667 0.0000  6 Pd 2.19
Pd 0.0000 0.5000 0.1973  2 B 2.19
Pt 0.3333 0.6667 0.5000  6 Pd 2.81

PrNdB2Pd6Pt2 after structural relaxation, computed with PBE.

Results
Energy relative to the lowest polymorph listed for this composition, kJ/mol of atoms: 0.0
Total energy, eV for the cell shown: -73.86

Unit cell a=5.4899 b=5.4899 c=7.6543 alpha=90.00 beta=90.00 gamma=120.00
Last column: nearest neighbours and their distance in Å.
Space group P6/mmm (No. 191)
One atom of each set of equivalent atoms:
Pr 0.0000 0.0000 0.0000  6 Pt 3.17
Nd 0.0000 0.0000 0.5000  12 Pd 3.13, 6 B 3.17
B 0.3333 0.6667 0.5000  6 Pd 2.18
Pd 0.0000 0.5000 0.3038  2 B 2.18
Pt 0.3333 0.6667 0.0000  6 Pd 2.81

NdBPd3Pt after structural relaxation, computed with PBE.

Results
Total energy, eV for the cell shown: -73.84

Unit cell a=5.4846 b=5.4846 c=7.6587 alpha=90.00 beta=90.00 gamma=120.00
Last column: nearest neighbours and their distance in Å.
Space group P6/mmm (No. 191)
One atom of each set of equivalent atoms:
Nd 0.0000 0.0000 0.0000  12 Pd 3.13, 6 B 3.17
Nd 0.0000 0.0000 0.5000  6 Pt 3.17
B 0.3333 0.6667 0.0000  6 Pd 2.18
Pd 0.0000 0.5000 0.1962  2 B 2.18
Pt 0.3333 0.6667 0.5000  6 Pd 2.81

PrNdB4 after structural relaxation, computed with PBE.

Results
Total energy, eV for the cell shown: -75.71

Unit cell a=3.3427 b=5.7894 c=8.3010 alpha=90.00 beta=90.00 gamma=90.00
Last column: nearest neighbours and their distance in Å.
Space group Immm (No. 71)
One atom of each set of equivalent atoms:
Pr 0.0000 0.0000 0.0000  12 B 2.83-2.84
Nd 0.0000 0.0000 0.5000  12 B 2.83-2.84
B 0.0000 0.3335 0.2495  3 B 1.93

PrNdB4 after structural relaxation, computed with PBE.

Results
Total energy, eV for the cell shown: -37.86

Unit cell a=3.3377 b=3.3377 c=8.3120 alpha=90.00 beta=90.00 gamma=120.00
Last column: nearest neighbours and their distance in Å.
Space group P6/mmm (No. 191)
One atom of each set of equivalent atoms:
Pr 0.0000 0.0000 0.0000  12 B 2.85
Nd 0.0000 0.0000 0.5000  12 B 2.82
B 0.3333 0.6667 0.2526  3 B 1.93

PrNdB after structural relaxation, computed with PBE.

Results
Energy relative to the lowest polymorph listed for this composition, kJ/mol of atoms: 0.0
Total energy, eV for the cell shown: -62.43

Unit cell a=6.6513 b=6.6513 c=6.6513 alpha=90.00 beta=90.00 gamma=90.00
Last column: nearest neighbours and their distance in Å.
Space group F-43m (No. 216)
One atom of each set of equivalent atoms:
Pr 0.0000 0.0000 0.0000  4 B 2.88
Nd 0.0000 0.0000 0.5000  4 B 2.88
B 0.2500 0.2500 0.7500  4 Pr 2.88, 4 Nd 2.88

PrNdB2Pt8 after structural relaxation, computed with PBE.

Results
Energy relative to the lowest polymorph listed for this composition, kJ/mol of atoms: 0.0
Total energy, eV for the cell shown: -80.77

Unit cell a=5.5032 b=5.5032 c=7.7021 alpha=90.00 beta=90.00 gamma=120.00
Last column: nearest neighbours and their distance in Å.
Space group P6/mmm (No. 191)
One atom of each set of equivalent atoms:
Pr 0.0000 0.0000 0.0000  6 Pt 3.18
Nd 0.0000 0.0000 0.5000  12 Pt 3.15, 6 B 3.18
B 0.3333 0.6667 0.5000  6 Pt 2.21
Pt 0.0000 0.5000 0.3011  2 B 2.21
Pt 0.3333 0.6667 0.0000  6 Pt 2.81

PrNdB2Pt8 after structural relaxation, computed with PBE.

Results
Energy relative to the lowest polymorph listed for this composition, kJ/mol of atoms: 0.8
Total energy, eV for the cell shown: -80.67

Unit cell a=5.5061 b=5.5061 c=7.7056 alpha=90.00 beta=90.00 gamma=120.00
Last column: nearest neighbours and their distance in Å.
Space group P6/mmm (No. 191)
One atom of each set of equivalent atoms:
Pr 0.0000 0.0000 0.0000  12 Pt 3.15, 6 B 3.18
Nd 0.0000 0.0000 0.5000  6 Pt 3.18
B 0.3333 0.6667 0.0000  6 Pt 2.21
Pt 0.0000 0.5000 0.1990  2 B 2.21
Pt 0.3333 0.6667 0.5000  6 Pt 2.81

SrNdB2Pt8 after structural relaxation, computed with PBE.

Results
Energy relative to the lowest polymorph listed for this composition, kJ/mol of atoms: 0.0
Total energy, eV for the cell shown: -76.86

Unit cell a=5.5294 b=5.5294 c=7.6400 alpha=90.00 beta=90.00 gamma=120.00
Last column: nearest neighbours and their distance in Å.
Space group P6/mmm (No. 191)
One atom of each set of equivalent atoms:
Sr 0.0000 0.0000 0.0000  12 Pt 3.16, 6 B 3.19
Nd 0.0000 0.0000 0.5000  6 Pt 3.19
B 0.3333 0.6667 0.0000  6 Pt 2.20
Pt 0.0000 0.5000 0.1991  2 B 2.20
Pt 0.3333 0.6667 0.5000  6 Pt 2.80

SrNdB2Pt8 after structural relaxation, computed with PBE.

Results
Energy relative to the lowest polymorph listed for this composition, kJ/mol of atoms: 0.8
Total energy, eV for the cell shown: -76.76

Unit cell a=5.5451 b=5.5451 c=7.6478 alpha=90.00 beta=90.00 gamma=120.00
Last column: nearest neighbours and their distance in Å.
Space group P6/mmm (No. 191)
One atom of each set of equivalent atoms:
Sr 0.0000 0.0000 0.0000  6 Pt 3.20
Nd 0.0000 0.0000 0.5000  12 Pt 3.16, 6 B 3.20
B 0.3333 0.6667 0.5000  6 Pt 2.21
Pt 0.0000 0.5000 0.3017  2 B 2.21
Pt 0.3333 0.6667 0.0000  6 Pt 2.81